GGA-PBE AlC2, relaxed; density of states at the Fermi level = 1.00 states/eV/f.u.; relative energy among the computed polymorphs = 1921 meV/atom; SG = P4_2/mnm, No. 136
1.0
5.1976 0.0000 0.0000
0.0000 5.1976 0.0000
0.0000 0.0000 2.5299
Al C
2 4
direct
0.0000 0.0000 0.0000
0.5000 0.5000 0.5000
0.2261 0.2261 0.5000
0.2739 0.7261 0.0000
0.7261 0.2739 0.0000
0.7739 0.7739 0.5000

***

GGA-PBE AlGaTc2, relaxed; density of states at the Fermi level = 3.72 states/eV/f.u.; relative energy among the computed polymorphs = 51 meV/atom; SG = R-3m, No. 166
1.0
1.4243 0.8223 8.4051
-1.4243 0.8223 8.4051
0.0000 -1.6446 8.4051
Al Ga Tc
1 1 2
direct
0.0000 0.0000 0.0000
0.5000 0.5000 0.5000
0.2497 0.2497 0.2497
0.7503 0.7503 0.7503

***

GGA-PBE La2ReW, relaxed; density of states at the Fermi level = 4.82 states/eV/f.u.; relative energy among the computed polymorphs = 652 meV/atom; SG = I4/mmm, No. 139
1.0
-2.0145 2.0145 5.3577
2.0145 -2.0145 5.3577
2.0145 2.0145 -5.3577
La Re W
2 1 1
direct
0.2500 0.7500 0.5000
0.7500 0.2500 0.5000
0.0000 0.0000 0.0000
0.5000 0.5000 0.0000

***

GGA-PBE Li4CeGa, relaxed; density of states at the Fermi level = 9.43 states/eV/f.u.; SG = F-43m, No. 216
1.0
0.0000 3.8454 3.8454
3.8454 0.0000 3.8454
3.8454 3.8454 0.0000
Li Ce Ga
4 1 1
direct
0.3771 0.3771 0.3771
0.3771 0.3771 0.8688
0.3771 0.8688 0.3771
0.8688 0.3771 0.3771
0.0000 0.0000 0.0000
0.7500 0.7500 0.7500

***

GGA-PBE Ta2OsRu, relaxed; density of states at the Fermi level = 4.82 states/eV/f.u.; relative energy among the computed polymorphs = 219 meV/atom; SG = Pmmm, No. 47
1.0
3.2680 0.0000 0.0000
0.0000 4.2611 0.0000
0.0000 0.0000 4.6359
Ta Os Ru
2 1 1
direct
0.0000 0.0000 0.0000
0.5000 0.0000 0.5000
0.0000 0.5000 0.5000
0.5000 0.5000 0.0000

***

GGA-PBE Tb4Ho6Tm19, relaxed; density of states at the Fermi level = 44.01 states/eV/f.u.; SG = I23, No. 197
1.0
-6.1481 6.1481 6.1481
6.1481 -6.1481 6.1481
6.1481 6.1481 -6.1481
Tb Ho Tm
4 6 19
direct
0.0000 0.0000 0.6428
0.0000 0.6428 0.0000
0.3572 0.3572 0.3572
0.6428 0.0000 0.0000
0.1289 0.6289 0.5000
0.3711 0.5000 0.8711
0.5000 0.1289 0.6289
0.5000 0.8711 0.3711
0.6289 0.5000 0.1289
0.8711 0.3711 0.5000
0.0000 0.0000 0.0000
0.0000 0.2622 0.2622
0.0000 0.7378 0.7378
0.0138 0.8021 0.3393
0.1979 0.2117 0.5372
0.2117 0.5372 0.1979
0.2622 0.0000 0.2622
0.2622 0.2622 0.0000
0.3255 0.7883 0.9862
0.3393 0.0138 0.8021
0.4628 0.6745 0.6607
0.5372 0.1979 0.2117
0.6607 0.4628 0.6745
0.6745 0.6607 0.4628
0.7378 0.0000 0.7378
0.7378 0.7378 0.0000
0.7883 0.9862 0.3255
0.8021 0.3393 0.0138
0.9862 0.3255 0.7883

***

GGA-PBE NdScCd3, relaxed; density of states at the Fermi level = 4.73 states/eV/f.u.; SG = Cmcm, No. 63
1.0
1.6960 -14.6508 0.0000
1.6960 14.6508 0.0000
0.0000 0.0000 4.9516
Nd Sc Cd
2 2 6
direct
0.0767 0.9233 0.7500
0.9233 0.0767 0.2500
0.2165 0.7835 0.2500
0.7835 0.2165 0.7500
0.3175 0.6825 0.2500
0.3724 0.6276 0.7500
0.4747 0.5253 0.7500
0.5253 0.4747 0.2500
0.6276 0.3724 0.2500
0.6825 0.3175 0.7500

***

GGA-PBE TlGa3Ag3, relaxed; density of states at the Fermi level = 3.38 states/eV/f.u.; SG = Pm-3n, No. 223
1.0
7.2650 0.0000 0.0000
0.0000 7.2650 0.0000
0.0000 0.0000 7.2650
Tl Ga Ag
2 6 6
direct
0.0000 0.0000 0.0000
0.5000 0.5000 0.5000
0.0000 0.2500 0.5000
0.0000 0.7500 0.5000
0.2500 0.5000 0.0000
0.5000 0.0000 0.2500
0.5000 0.0000 0.7500
0.7500 0.5000 0.0000
0.0000 0.5000 0.2500
0.0000 0.5000 0.7500
0.2500 0.0000 0.5000
0.5000 0.2500 0.0000
0.5000 0.7500 0.0000
0.7500 0.0000 0.5000

***

Number 1: formation energy from the elements 2.21 eV/atom. Number 2: formation energy from the elements -0.09 eV/atom. Number 3: formation energy from the elements 0.85 eV/atom. Number 4: formation energy from the elements -0.02 eV/atom. Number 5: formation energy from the elements -0.10 eV/atom. Number 6: formation energy from the elements 0.40 eV/atom. Number 7: formation energy from the elements -0.28 eV/atom. Number 8: formation energy from the elements 0.31 eV/atom.